Here is CsVCo2F8 after structural relaxation from the Alexandria database. Energies are from GGA+U.

The structure in CIF format:
```
data_CsVCo2F8
_chemical_formula_sum 'Cs3 V3 Co6 F24'
_cell_length_a 5.4158
_cell_length_b 5.4158
_cell_length_c 24.8348
_cell_angle_alpha 90.00
_cell_angle_beta 90.00
_cell_angle_gamma 120.00
_space_group_name_H-M_alt 'R -3'
_space_group_IT_number 148
_space_group_name_Hall '-R 3'
loop_
_atom_site_label
_atom_site_fract_x
_atom_site_fract_y
_atom_site_fract_z
Cs1 0.0000 0.0000 0.0000
V1 0.0000 0.0000 0.5000
Co1 0.0000 0.0000 0.2367
F1 0.0000 0.0000 0.3116
F2 0.0080 0.3030 0.4545
```

Results
**Final energy**: -5.23 eV per atom
**Fermi-level density of states**: 0.000 states/eV/f.u.
**Total magnetic moment**: 23.7 μB/cell